(a)
This record from Alexandria via LeMat-Bulk describes Pm2Al2Ag3 after structural relaxation. The functional is PBE-GGA.

- D(E_F): 5.08 states/eV/f.u.

a = 4.3584 Å, b = 19.8817 Å, c = 7.2811 Å
α = 90.00°, β = 90.00°, γ = 90.00°
Closest atoms and distances in Å follow each position.
Space group Cmcm (No. 63)
Unique sites:
Pm (0.0000, 0.0585, 0.2500) (multiplicity 4)  5 Ag 3.13-3.30
Pm (0.0000, 0.1545, 0.7500) (multiplicity 4)  6 Ag 3.15-3.25, 6 Al 3.22-3.33
Al (0.0000, 0.3064, 0.5578) (multiplicity 8)  4 Ag 2.66-2.77, 1 Al 2.80
Ag (0.0000, 0.2245, 0.2500) (multiplicity 4)  6 Al 2.66-2.77
Ag (0.0000, 0.4355, 0.0581) (multiplicity 8)  2 Ag 2.70-2.79, 1 Al 2.70

(b)
This record from Alexandria via LeMat-Bulk describes Pm2Al2Ag3 after structural relaxation. The functional is PBE-GGA.

- D(E_F): 4.86 states/eV/f.u.

a = 11.9547 Å, b = 3.6982 Å, c = 7.0803 Å
α = 90.00°, β = 97.08°, γ = 90.00°
Closest atoms and distances in Å follow each position.
Space group C2/m (No. 12)
Unique sites:
Pm (0.1459, 0.0000, 0.3262) (multiplicity 4)  5 Al 3.15-3.29, 5 Ag 3.24-3.29
Al (0.0773, 0.5000, 0.6529) (multiplicity 4)  3 Ag 2.64-2.73, 1 Al 2.67
Ag (0.0000, 0.5000, 0.0000) (multiplicity 2)  2 Al 2.73, 4 Ag 3.03
Ag (0.1784, 0.0000, 0.8785) (multiplicity 4)  2 Al 2.64, 2 Ag 2.93

Taking the most stable structure as the zero point, the relative energies in meV/atom are (a) 0; (b) 14.

(a)
This record from Alexandria via LeMat-Bulk describes Pm4AlAg after structural relaxation. The functional is PBE-GGA.

- D(E_F): 7.02 states/eV/f.u.

a = 12.4396 Å, b = 3.6856 Å, c = 7.7677 Å
α = 90.00°, β = 93.48°, γ = 90.00°
Closest atoms and distances in Å follow each position.
Space group Cm (No. 8)
Unique sites:
Pm (0.0000, 0.0000, 0.0000) (multiplicity 2)  2 Al 3.14, 6 Pm 3.50-3.52
Pm (0.0461, 0.5000, 0.6288) (multiplicity 2)  2 Ag 3.12, 1 Al 3.15
Pm (0.1924, 0.5000, 0.2503) (multiplicity 2)  1 Ag 3.02, 2 Al 3.21
Pm (0.2679, 0.0000, 0.8730) (multiplicity 2)  2 Ag 3.20, 1 Al 3.49, 3 Pm 3.52-3.53
Al (0.4036, 0.0000, 0.2802) (multiplicity 2)  2 Ag 3.01, 5 Pm 3.14-3.21
Ag (0.3454, 0.5000, 0.5667) (multiplicity 2)  2 Al 3.01, 5 Pm 3.02-3.20

(b)
This record from Alexandria via LeMat-Bulk describes Pm4AlAg after structural relaxation. The functional is PBE-GGA.

- D(E_F): 8.19 states/eV/f.u.

a = 5.0729 Å, b = 5.0729 Å, c = 7.5037 Å
α = 90.00°, β = 90.00°, γ = 90.00°
Closest atoms and distances in Å follow each position.
Space group P4/mmm (No. 123)
Unique sites:
Pm (0.0000, 0.5000, 0.2471) (multiplicity 4)  2 Al 3.14, 2 Ag 3.17
Al (0.0000, 0.0000, 0.0000) (multiplicity 1)  8 Pm 3.14
Ag (0.5000, 0.5000, 0.5000) (multiplicity 1)  8 Pm 3.17

Taking the most stable structure as the zero point, the relative energies in meV/atom are (a) 0; (b) 62.

(a)
This record from Alexandria via LeMat-Bulk describes Pm4AlAg3 after structural relaxation. The functional is PBE-GGA.

- D(E_F): 8.58 states/eV/f.u.

a = 3.7386 Å, b = 4.7958 Å, c = 11.7974 Å
α = 90.00°, β = 90.00°, γ = 90.00°
Closest atoms and distances in Å follow each position.
Space group Pmm2 (No. 25)
Unique sites:
Pm (0.0000, 0.0000, 0.0000) (multiplicity 1)  6 Ag 3.17-3.24, 1 Al 3.27
Pm (0.0000, 0.5000, 0.2967) (multiplicity 1)  7 Ag 3.16-3.34
Pm (0.5000, 0.0000, 0.4996) (multiplicity 1)  5 Ag 3.18-3.25, 2 Al 3.23
Pm (0.5000, 0.5000, 0.8018) (multiplicity 1)  4 Al 3.18, 3 Ag 3.22-3.24
Al (0.0000, 0.0000, 0.7228) (multiplicity 1)  2 Ag 2.93, 7 Pm 3.18-3.27
Ag (0.0000, 0.5000, 0.5798) (multiplicity 1)  2 Al 2.93, 6 Pm 3.18-3.22
Ag (0.5000, 0.0000, 0.2238) (multiplicity 1)  2 Ag 2.96, 7 Pm 3.16-3.25
Ag (0.5000, 0.5000, 0.0764) (multiplicity 1)  2 Ag 2.96, 7 Pm 3.17-3.24

(b)
This record from Alexandria via LeMat-Bulk describes Pm4AlAg3 after structural relaxation. The functional is PBE-GGA.

- D(E_F): 5.93 states/eV/f.u.

a = 3.6727 Å, b = 3.6727 Å, c = 15.2954 Å
α = 90.00°, β = 90.00°, γ = 90.00°
Closest atoms and distances in Å follow each position.
Space group P4/mmm (No. 123)
Unique sites:
Pm (0.0000, 0.0000, 0.1235) (multiplicity 2)  4 Al 3.21, 4 Ag 3.23
Pm (0.0000, 0.0000, 0.3741) (multiplicity 2)  8 Ag 3.22-3.23
Al (0.5000, 0.5000, 0.0000) (multiplicity 1)  8 Pm 3.21
Ag (0.5000, 0.5000, 0.2492) (multiplicity 2)  8 Pm 3.22-3.23
Ag (0.5000, 0.5000, 0.5000) (multiplicity 1)  8 Pm 3.23

Taking the most stable structure as the zero point, the relative energies in meV/atom are (a) 37; (b) 0.

(a)
This record from Alexandria via LeMat-Bulk describes PmYAlAg after structural relaxation. The functional is PBE-GGA.

- D(E_F): 3.43 states/eV/f.u.

a = 3.5953 Å, b = 3.5953 Å, c = 7.6825 Å
α = 90.00°, β = 90.00°, γ = 90.00°
Closest atoms and distances in Å follow each position.
Space group P4mm (No. 99)
Unique sites:
Pm (0.0000, 0.0000, 0.0000) (multiplicity 1)  4 Al 3.21, 4 Ag 3.29, 4 Pm 3.60
Y (0.0000, 0.0000, 0.5032) (multiplicity 1)  4 Ag 3.11, 4 Al 3.15
Al (0.5000, 0.5000, 0.7447) (multiplicity 1)  4 Y 3.15, 4 Pm 3.21
Ag (0.5000, 0.5000, 0.2710) (multiplicity 1)  4 Y 3.11, 4 Pm 3.29

(b)
This record from Alexandria via LeMat-Bulk describes PmYAlAg after structural relaxation. The functional is PBE-GGA.

- D(E_F): 4.13 states/eV/f.u.

a = 7.3961 Å, b = 7.3961 Å, c = 7.3961 Å
α = 90.00°, β = 90.00°, γ = 90.00°
Closest atoms and distances in Å follow each position.
Space group F-43m (No. 216)
Unique sites:
Pm (0.0000, 0.0000, 0.0000) (multiplicity 4)  4 Ag 3.20, 4 Al 3.20
Y (0.0000, 0.0000, 0.5000) (multiplicity 4)  4 Al 3.20, 4 Ag 3.20
Al (0.2500, 0.2500, 0.7500) (multiplicity 4)  4 Pm 3.20, 4 Y 3.20
Ag (0.2500, 0.2500, 0.2500) (multiplicity 4)  4 Y 3.20, 4 Pm 3.20

Taking the most stable structure as the zero point, the relative energies in meV/atom are (a) 0; (b) 23.